Here is a relaxed TlFe2NiI8 crystal from Alexandria via LeMat-Bulk. Energies are from GGA-PBE.

Calculated values
Symmetry ... C2/m (12)
DOS(E_F) ... 0.707 states/eV per atom
Uncorrected formation energy ... -2.27 eV per formula unit
V ... 39.063 Å³ per atom
VASP energy ... -39.743 eV per cell

Cell lengths 7.068, 7.068, 10.059 Å; angles 86.54, 86.54, 69.28 degrees
Sites, in units of the cell vectors:
Tl  0.000  0.000  0.500
Fe  0.627  0.627  0.215
Fe  0.373  0.373  0.785
Ni  0.000  0.000  0.000
I  0.765  0.250  0.801
I  0.769  0.769  0.007
I  0.700  0.700  0.447
I  0.300  0.300  0.553
I  0.231  0.231  0.993
I  0.250  0.765  0.801
I  0.750  0.235  0.199
I  0.235  0.750  0.199

=====

Here is a relaxed Nd3YAs4 crystal from Alexandria via LeMat-Bulk. Energies are from GGA-PBE.

Calculated values
Symmetry ... Cmmm (65)
DOS(E_F) ... 0.087 states/eV per atom
V ... 26.897 Å³ per atom
Offset from the most stable computed form ... 0 meV per atom
VASP energy ... -51.509 eV per cell

Cell lengths 4.240, 7.336, 7.336 Å; angles 109.47, 90.00, 90.00 degrees
Sites, in units of the cell vectors:
Nd  0.000  0.000  0.500
Nd  0.500  0.500  0.500
Nd  0.000  0.500  0.000
Y  0.500  0.000  0.000
As  0.000  0.244  0.244
As  0.500  0.753  0.247
As  0.000  0.756  0.756
As  0.500  0.247  0.753